1.
The following is a DFT calculation (PBE) of Pr3Ag2Pd4 after structural relaxation.

Size of the total moment   0.00 μB/cell
Calculated formation energy   -0.581 eV per atom
VASP energy   -5.115 eV/atom
Energy above the lowest structure with this stoichiometry   0 meV/atom
N(E_F)   0.405 states/eV per atom

a b c (Å): 11.231 4.543 8.863
angles (deg): 90.00 114.78 90.00
Space group C2/m (No. 12)
Unique sites:
Pr (0.000, 0.000, 0.000) [2 per cell]
Pr (0.139, 0.500, 0.695) [4 per cell]
Ag (0.169, 0.500, 0.337) [4 per cell]
Pd (0.064, 0.000, 0.398) [4 per cell]
Pd (0.218, 0.500, 0.061) [4 per cell]

2.
The following is a DFT calculation (PBE) of SrMgSb2Mo after structural relaxation.

Size of the total moment   0.00 μB/cell
VASP energy   -4.148 eV/atom
Raw formation energy   0.323 eV per atom
N(E_F)   0.967 states/eV per atom

a b c (Å): 5.257 5.257 5.870
angles (deg): 90.00 90.00 90.00
Space group P4/mmm (No. 123)
Unique sites:
Sr (0.000, 0.000, 0.000) [1 per cell]
Mg (0.500, 0.500, 0.000) [1 per cell]
Sb (0.000, 0.500, 0.500) [2 per cell]
Mo (0.000, 0.000, 0.500) [1 per cell]

3.
The following is a DFT calculation (PBE) of ZrSbCl2 after structural relaxation.

Size of the total moment   0.00 μB/cell
VASP energy   -4.420 eV/atom
Raw formation energy   -0.329 eV per atom
Energy above the lowest structure with this stoichiometry   747 meV/atom
N(E_F)   0.729 states/eV per atom

a b c (Å): 4.463 4.463 8.823
angles (deg): 90.00 90.00 90.00
Space group I-4m2 (No. 119)
Unique sites:
Zr (0.000, 0.000, 0.000) [2 per cell]
Sb (0.000, 0.500, 0.250) [2 per cell]
Cl (0.000, 0.000, 0.500) [2 per cell]
Cl (0.000, 0.500, 0.750) [2 per cell]

4.
The following is a DFT calculation (PBE) of RbNaV2I8 after structural relaxation.

Size of the total moment   4.00 μB/cell
VASP energy   -3.447 eV/atom
Raw formation energy   -0.703 eV per atom

a b c (Å): 7.5900 7.5900 11.0730
angles (deg): 90.00 90.00 120.00
Space group P-3 (No. 147)
Unique sites:
Rb (0.0000, 0.0000, 0.0000) [1 per cell]
Na (0.0000, 0.0000, 0.5000) [1 per cell]
V (0.3333, 0.6667, 0.7554) [2 per cell]
I (0.0078, 0.3370, 0.6869) [6 per cell]
I (0.3333, 0.6667, 0.9885) [2 per cell]

5.
The following is a DFT calculation (PBE) of Pu2NpAl2Ru5 after structural relaxation.

Size of the total moment   21.81 μB/cell
Calculated formation energy   -0.256 eV per atom
VASP energy   -9.803 eV/atom
N(E_F)   2.231 states/eV per atom

a b c (Å): 10.156 10.156 3.386
angles (deg): 90.00 90.00 90.00
Space group P4/mbm (No. 127)
Unique sites:
Pu (0.171, 0.329, 0.000) [4 per cell]
Np (0.000, 0.000, 0.000) [2 per cell]
Al (0.126, 0.626, 0.000) [4 per cell]
Ru (0.000, 0.500, 0.500) [2 per cell]
Ru (0.068, 0.799, 0.500) [8 per cell]

6.
The following is a DFT calculation (PBE) of AlCo2S after structural relaxation.

Size of the total moment   0.00 μB/cell
VASP energy   -5.352 eV/atom
Raw formation energy   0.168 eV per atom
Energy above the lowest structure with this stoichiometry   134 meV/atom
N(E_F)   0.680 states/eV per atom

a b c (Å): 5.130 5.130 10.265
angles (deg): 90.00 90.00 90.00
Space group I-42d (No. 122)
Unique sites:
Al (0.000, 0.000, 0.000) [4 per cell]
Co (0.200, 0.250, 0.625) [8 per cell]
S (0.000, 0.000, 0.500) [4 per cell]

7.
The following is a DFT calculation (PBE) of BaBeRh2 after structural relaxation.

Size of the total moment   0.00 μB/cell
Calculated formation energy   0.610 eV per atom
VASP energy   -4.477 eV/atom
N(E_F)   0.558 states/eV per atom

a b c (Å): 6.715 6.715 6.715
angles (deg): 90.00 90.00 90.00
Space group F-43m (No. 216)
Unique sites:
Ba (0.000, 0.000, 0.000) [4 per cell]
Be (0.250, 0.250, 0.250) [4 per cell]
Rh (0.000, 0.000, 0.500) [4 per cell]
Rh (0.250, 0.250, 0.750) [4 per cell]

8.
The following is a DFT calculation (PBE) of AcGaTe2 after structural relaxation.

Size of the total moment   0.00 μB/cell
VASP energy   -4.285 eV/atom
Raw formation energy   -0.930 eV per atom
Energy above the lowest structure with this stoichiometry   161 meV/atom

a b c (Å): 4.6221 4.6221 23.7177
angles (deg): 90.00 90.00 120.00
Space group R3m (No. 160, hexagonal axes)
Unique sites:
Ac (0.0000, 0.0000, 0.0000) [3 per cell]
Ga (0.0000, 0.0000, 0.8318) [3 per cell]
Te (0.0000, 0.0000, 0.2483) [3 per cell]
Te (0.0000, 0.0000, 0.4204) [3 per cell]

9.
The following is a DFT calculation (PBE) of TbCd4In after structural relaxation.

Size of the total moment   0.00 μB/cell
Calculated formation energy   -0.209 eV per atom
VASP energy   -2.047 eV/atom
Energy above the lowest structure with this stoichiometry   0 meV/atom
N(E_F)   0.667 states/eV per atom

a b c (Å): 6.481 17.911 4.991
angles (deg): 90.00 90.00 90.00
Space group Cmcm (No. 63)
Unique sites:
Tb (0.000, 0.121, 0.250) [4 per cell]
Cd (0.245, 0.043, 0.750) [8 per cell]
Cd (0.249, 0.209, 0.750) [8 per cell]
In (0.000, 0.380, 0.750) [4 per cell]

10.
The following is a DFT calculation (PBE) of CeAs2Ir after structural relaxation.

Size of the total moment   2.32 μB/cell
Calculated formation energy   -0.832 eV per atom
VASP energy   -6.855 eV/atom
N(E_F)   1.392 states/eV per atom

a b c (Å): 4.339 16.153 4.685
angles (deg): 90.00 90.00 90.00
Space group Cmcm (No. 63)
Unique sites:
Ce (0.000, 0.108, 0.250) [4 per cell]
As (0.000, 0.255, 0.750) [4 per cell]
As (0.000, 0.469, 0.250) [4 per cell]
Ir (0.000, 0.317, 0.250) [4 per cell]

11.
The following is a DFT calculation (PBE) of Sm5Cd6 after structural relaxation.

Size of the total moment   2.03 μB/cell
Calculated formation energy   -0.209 eV per atom
VASP energy   -2.853 eV/atom
N(E_F)   1.023 states/eV per atom

a b c (Å): 5.381 7.375 15.813
angles (deg): 90.00 90.00 90.00
Space group Immm (No. 71)
Unique sites:
Sm (0.000, 0.000, 0.000) [2 per cell]
Sm (0.000, 0.000, 0.318) [4 per cell]
Sm (0.000, 0.500, 0.338) [4 per cell]
Cd (0.000, 0.217, 0.500) [4 per cell]
Cd (0.000, 0.282, 0.151) [8 per cell]

12.
The following is a DFT calculation (PBE) of CeUPb after structural relaxation.

Size of the total moment   9.12 μB/cell
Calculated formation energy   0.130 eV per atom
VASP energy   -6.847 eV/atom
N(E_F)   2.273 states/eV per atom

a b c (Å): 5.440 6.400 8.794
angles (deg): 90.00 90.00 90.00
Space group Immm (No. 71)
Unique sites:
Ce (0.000, 0.000, 0.163) [4 per cell]
U (0.000, 0.500, 0.140) [4 per cell]
Pb (0.000, 0.253, 0.500) [4 per cell]